# 1
## SrCrPb2 (PBE)

Data for crystalline SrCrPb2 at its relaxed geometry. Values from VASP.

The density of states at the Fermi level is 1.8 states/eV/f.u. Its energy of formation from the pure elements is 2.3 kJ/mol of atoms. The total energy comes out at -0.34226 Ry per atom.

Geometry as Quantum ESPRESSO input:
```
&SYSTEM
  ibrav = 0, nat = 4, ntyp = 3
/
ATOMIC_SPECIES
Cr 52.00 Cr.upf
Pb 207.20 Pb.upf
Sr 87.62 Sr.upf
CELL_PARAMETERS angstrom
5.0763 -0.0057 0.0127
3.1032 4.0174 0.0127
1.9056 0.9346 5.8126
ATOMIC_POSITIONS angstrom
Cr 2.5213 1.2366 1.4595
Pb 8.1714 4.0077 0.4764
Pb 5.0507 2.4772 2.4680
Sr 7.5639 3.7098 4.3785
```

# 2
## SrCr2Pb (PBE)

Data for crystalline SrCr2Pb at its relaxed geometry. Values from VASP.

The density of states at the Fermi level is 4.2 states/eV/f.u. Its energy of formation from the pure elements is 77.9 kJ/mol of atoms. The total energy comes out at -0.39334 Ry per atom.

Geometry as Quantum ESPRESSO input:
```
&SYSTEM
  ibrav = 0, nat = 4, ntyp = 3
/
ATOMIC_SPECIES
Sr 87.62 Sr.upf
Cr 52.00 Cr.upf
Pb 207.20 Pb.upf
CELL_PARAMETERS angstrom
6.2735 -0.0901 0.1445
-2.6876 5.6694 0.1445
0.7572 1.1781 3.0428
ATOMIC_POSITIONS angstrom
Sr -0.9652 3.4238 1.5937
Cr 1.7930 2.7897 0.1445
Cr 0.0000 0.0000 0.0000
Pb 3.5154 0.5440 1.5937
```

# 3
## SrCrPb (PBE)

Data for crystalline SrCrPb at its relaxed geometry. Values from VASP.

The density of states at the Fermi level is 2.3 states/eV/f.u. Its energy of formation from the pure elements is 26.1 kJ/mol of atoms. The total energy comes out at -0.34791 Ry per atom.

Geometry as Quantum ESPRESSO input:
```
&SYSTEM
  ibrav = 0, nat = 3, ntyp = 3
/
ATOMIC_SPECIES
Sr 87.62 Sr.upf
Cr 52.00 Cr.upf
Pb 207.20 Pb.upf
CELL_PARAMETERS angstrom
-0.9416 -0.9022 -4.9131
1.2162 -4.4955 -2.0372
-3.6641 -3.2633 -1.3281
ATOMIC_POSITIONS angstrom
Sr -1.6947 -4.3305 -4.1392
Cr -2.5421 -6.4958 -6.2088
Pb 0.0000 0.0000 0.0000
```

# 4
## SrCr2Pb (PBE)

Data for crystalline SrCr2Pb at its relaxed geometry. Values from VASP.

The density of states at the Fermi level is 4.2 states/eV/f.u. Its energy of formation from the pure elements is 65.0 kJ/mol of atoms. The total energy comes out at -0.40315 Ry per atom.

Geometry as Quantum ESPRESSO input:
```
&SYSTEM
  ibrav = 0, nat = 4, ntyp = 3
/
ATOMIC_SPECIES
Sr 87.62 Sr.upf
Cr 52.00 Cr.upf
Pb 207.20 Pb.upf
CELL_PARAMETERS angstrom
5.2092 -0.0114 0.0399
4.1112 3.1991 0.0399
1.3401 0.4583 5.8475
ATOMIC_POSITIONS angstrom
Sr 2.6651 0.9115 1.4818
Cr 1.2463 0.4262 5.0254
Cr 5.4240 1.8551 3.7858
Pb 7.9954 2.7345 4.4455
```

# 5
## SrCr2Pb (PBE)

Data for crystalline SrCr2Pb at its relaxed geometry. Values from VASP.

The density of states at the Fermi level is 2.1 states/eV/f.u. Its energy of formation from the pure elements is 59.6 kJ/mol of atoms. The total energy comes out at -0.40733 Ry per atom.

Geometry as Quantum ESPRESSO input:
```
&SYSTEM
  ibrav = 0, nat = 4, ntyp = 3
/
ATOMIC_SPECIES
Cr 52.00 Cr.upf
Sr 87.62 Sr.upf
Pb 207.20 Pb.upf
CELL_PARAMETERS angstrom
-1.1114 0.1813 -4.5533
4.2250 -1.7149 -1.0995
-1.6447 -4.2021 0.2342
ATOMIC_POSITIONS angstrom
Cr 1.5568 -0.7668 -2.8264
Cr 0.0000 0.0000 0.0000
Sr 1.2902 -2.9585 -0.4327
Pb -1.3780 -2.0104 -2.1596
```

# 6
## SrCr3Pb (PBE)

Data for crystalline SrCr3Pb at its relaxed geometry. Values from VASP.

For the polymorph energy (0 for the lowest one), the calculation gives 942 meV/atom. The density of states at the Fermi level is 4.1 states/eV/f.u. Its energy of formation from the pure elements is 195.7 kJ/mol of atoms. The total energy comes out at -0.35451 Ry per atom.

Geometry as Quantum ESPRESSO input:
```
&SYSTEM
  ibrav = 0, nat = 5, ntyp = 3
/
ATOMIC_SPECIES
Cr 52.00 Cr.upf
Sr 87.62 Sr.upf
Pb 207.20 Pb.upf
CELL_PARAMETERS angstrom
-4.5740 1.6505 2.6677
0.1635 -4.5848 3.1170
3.1327 2.6492 3.7323
ATOMIC_POSITIONS angstrom
Cr 1.5664 1.3246 1.8662
Cr 0.0817 -2.2924 1.5585
Cr -2.2870 0.8253 1.3338
Sr 0.0000 0.0000 0.0000
Pb -0.6389 -0.1425 4.7585
```

# 7
## SrCr2Pb (PBE)

Data for crystalline SrCr2Pb at its relaxed geometry. Values from VASP.

The density of states at the Fermi level is 3.7 states/eV/f.u. Its energy of formation from the pure elements is 87.1 kJ/mol of atoms. The total energy comes out at -0.38631 Ry per atom.

Geometry as Quantum ESPRESSO input:
```
&SYSTEM
  ibrav = 0, nat = 4, ntyp = 3
/
ATOMIC_SPECIES
Cr 52.00 Cr.upf
Pb 207.20 Pb.upf
Sr 87.62 Sr.upf
CELL_PARAMETERS angstrom
-4.4617 -8.6234 1.8703
-4.0864 -8.8354 -1.7338
-1.3369 -9.7873 0.4363
ATOMIC_POSITIONS angstrom
Cr -9.7754 -26.9439 0.5665
Cr -5.0521 -13.9252 0.2928
Pb -2.4712 -6.8115 0.1432
Sr -7.4137 -20.4346 0.4296
```

# 8
## SrCr2Pb (PBE)

Data for crystalline SrCr2Pb at its relaxed geometry. Values from VASP.

The density of states at the Fermi level is 3.1 states/eV/f.u. Its energy of formation from the pure elements is 32.3 kJ/mol of atoms. The total energy comes out at -0.42806 Ry per atom.

Geometry as Quantum ESPRESSO input:
```
&SYSTEM
  ibrav = 0, nat = 4, ntyp = 3
/
ATOMIC_SPECIES
Cr 52.00 Cr.upf
Pb 207.20 Pb.upf
Sr 87.62 Sr.upf
CELL_PARAMETERS angstrom
3.4892 0.0000 0.0000
0.0000 3.4001 -0.0017
0.0000 3.4032 7.9082
ATOMIC_POSITIONS angstrom
Cr 3.4892 3.3996 0.6517
Cr 1.7446 1.6994 1.5519
Pb 0.0000 3.4016 3.5284
Sr 1.7446 5.1046 6.1260
```

# 9
## SrCrPb2 (PBE)

Data for crystalline SrCrPb2 at its relaxed geometry. Values from VASP.

The density of states at the Fermi level is 1.3 states/eV/f.u. Its energy of formation from the pure elements is 9.3 kJ/mol of atoms. The total energy comes out at -0.33692 Ry per atom.

Geometry as Quantum ESPRESSO input:
```
&SYSTEM
  ibrav = 0, nat = 4, ntyp = 3
/
ATOMIC_SPECIES
Cr 52.00 Cr.upf
Pb 207.20 Pb.upf
Sr 87.62 Sr.upf
CELL_PARAMETERS angstrom
4.8600 0.0000 0.0000
0.0000 3.6743 -0.0315
0.0000 1.0402 6.5509
ATOMIC_POSITIONS angstrom
Cr 2.4300 3.5359 4.8895
Pb 0.0000 2.8151 3.4348
Pb 0.0000 4.2567 6.3442
Sr 2.4300 1.1786 1.6298
```

# 10
## Sr4CrPb (PBE)

Data for crystalline Sr4CrPb at its relaxed geometry. Values from VASP.

The density of states at the Fermi level is 6.0 states/eV/f.u. Its energy of formation from the pure elements is 60.6 kJ/mol of atoms. The total energy comes out at -0.19958 Ry per atom.

Geometry as Quantum ESPRESSO input:
```
&SYSTEM
  ibrav = 0, nat = 6, ntyp = 3
/
ATOMIC_SPECIES
Sr 87.62 Sr.upf
Pb 207.20 Pb.upf
Cr 52.00 Cr.upf
CELL_PARAMETERS angstrom
-3.3957 5.7651 2.4134
0.3791 6.1200 -3.6047
-5.7179 2.4605 -3.4414
ATOMIC_POSITIONS angstrom
Sr -6.1389 6.6084 -3.4609
Sr -3.2727 5.3751 -1.7358
Sr -4.9748 8.2649 -0.5261
Sr -3.0827 8.4428 -3.5427
Pb 0.0000 0.0000 0.0000
Cr -6.5509 10.7592 -3.4746
```

# 11
## SrCrPb2 (PBE)

Data for crystalline SrCrPb2 at its relaxed geometry. Values from VASP.

The density of states at the Fermi level is 3.6 states/eV/f.u. Its energy of formation from the pure elements is 43.3 kJ/mol of atoms. The total energy comes out at -0.31106 Ry per atom.

Geometry as Quantum ESPRESSO input:
```
&SYSTEM
  ibrav = 0, nat = 4, ntyp = 3
/
ATOMIC_SPECIES
Pb 207.20 Pb.upf
Cr 52.00 Cr.upf
Sr 87.62 Sr.upf
CELL_PARAMETERS angstrom
10.4046 -0.0880 -0.0518
9.7510 3.6306 -0.0518
9.7510 1.7139 3.2010
ATOMIC_POSITIONS angstrom
Pb 0.2179 0.0383 0.0226
Pb 7.6544 1.3454 0.7927
Cr 22.1765 3.8978 2.2967
Sr 14.8112 2.6033 1.5340
```

# 12
## SrCrTcPb2 (PBE)

Data for crystalline SrCrTcPb2 at its relaxed geometry. Values from VASP.

The density of states at the Fermi level is 4.8 states/eV/f.u. Its energy of formation from the pure elements is 37.2 kJ/mol of atoms. The total energy comes out at -0.39921 Ry per atom.

Geometry as Quantum ESPRESSO input:
```
&SYSTEM
  ibrav = 0, nat = 5, ntyp = 4
/
ATOMIC_SPECIES
Tc 98.00 Tc.upf
Cr 52.00 Cr.upf
Sr 87.62 Sr.upf
Pb 207.20 Pb.upf
CELL_PARAMETERS angstrom
-5.0466 -1.7828 0.3122
0.4647 -0.4621 4.8735
-1.7376 5.0311 0.6427
ATOMIC_POSITIONS angstrom
Tc 0.0000 0.0000 0.0000
Cr 0.2324 -0.2311 2.4368
Sr -3.1597 1.3931 2.9142
Pb -2.5233 -0.8914 0.1561
Pb -0.8688 2.5156 0.3214
```